No. 1
AlPd7Pt2: optimized geometry, PBE. Values from VASP.

## Properties
Symmetry: Cmmm
Volume in Å³ per cell: 198
E_form in meV/atom: 259
Fermi-level density of states in states/eV per cell: 19.2

The structure in Quantum ESPRESSO input format:
```
&SYSTEM
  ibrav = 0, nat = 10, ntyp = 3
/
ATOMIC_SPECIES
Al 26.98 Al.upf
Pd 106.42 Pd.upf
Pt 195.08 Pt.upf
ATOMIC_POSITIONS crystal
Al 0.000 0.000 0.000
Pd 0.077 0.289 0.500
Pd 0.192 0.808 0.000
Pd 0.289 0.077 0.500
Pd 0.500 0.500 0.500
Pd 0.711 0.923 0.500
Pd 0.808 0.192 0.000
Pd 0.923 0.711 0.500
Pt 0.299 0.701 0.500
Pt 0.701 0.299 0.500
CELL_PARAMETERS angstrom
3.633 -6.363 0.000
3.633 6.363 0.000
0.000 0.000 4.292
```

No. 2
AsIrSe2: optimized geometry, PBE. Values from VASP.

## Properties
Symmetry: P4/mmm
Volume in Å³ per cell: 70
Formation energy from raw total energies in eV per atom: 0.52
Fermi-level density of states in states/eV per cell: 2.8

The structure in Quantum ESPRESSO input format:
```
&SYSTEM
  ibrav = 0, nat = 4, ntyp = 3
/
ATOMIC_SPECIES
As 74.92 As.upf
Ir 192.22 Ir.upf
Se 78.96 Se.upf
ATOMIC_POSITIONS crystal
As 0.000 0.000 0.000
Ir 0.500 0.500 0.000
Se 0.000 0.500 0.500
Se 0.500 0.000 0.500
CELL_PARAMETERS angstrom
4.687 0.000 0.000
0.000 4.687 0.000
0.000 0.000 3.174
```

What did the second record say?
AsIrSe2: optimized geometry, PBE. Values from VASP.

## Properties
Symmetry: P4/mmm
Volume in Å³ per cell: 70
Formation energy from raw total energies in eV per atom: 0.52
Fermi-level density of states in states/eV per cell: 2.8

The structure in Quantum ESPRESSO input format:
```
&SYSTEM
  ibrav = 0, nat = 4, ntyp = 3
/
ATOMIC_SPECIES
As 74.92 As.upf
Ir 192.22 Ir.upf
Se 78.96 Se.upf
ATOMIC_POSITIONS crystal
As 0.000 0.000 0.000
Ir 0.500 0.500 0.000
Se 0.000 0.500 0.500
Se 0.500 0.000 0.500
CELL_PARAMETERS angstrom
4.687 0.000 0.000
0.000 4.687 0.000
0.000 0.000 3.174
```

Copy entry 1 word for word.
AlPd7Pt2: optimized geometry, PBE. Values from VASP.

## Properties
Symmetry: Cmmm
Volume in Å³ per cell: 198
E_form in meV/atom: 259
Fermi-level density of states in states/eV per cell: 19.2

The structure in Quantum ESPRESSO input format:
```
&SYSTEM
  ibrav = 0, nat = 10, ntyp = 3
/
ATOMIC_SPECIES
Al 26.98 Al.upf
Pd 106.42 Pd.upf
Pt 195.08 Pt.upf
ATOMIC_POSITIONS crystal
Al 0.000 0.000 0.000
Pd 0.077 0.289 0.500
Pd 0.192 0.808 0.000
Pd 0.289 0.077 0.500
Pd 0.500 0.500 0.500
Pd 0.711 0.923 0.500
Pd 0.808 0.192 0.000
Pd 0.923 0.711 0.500
Pt 0.299 0.701 0.500
Pt 0.701 0.299 0.500
CELL_PARAMETERS angstrom
3.633 -6.363 0.000
3.633 6.363 0.000
0.000 0.000 4.292
```